Entry 1:
{
  "formula": "Lu2NbSi",
  "functional": "GGA-PBE",
  "state": "optimized geometry",
  "cell": [[-2.521, -3.427, 2.324], [-4.410, -1.253, -1.575], [-0.694, -4.326, -2.076]],
  "species": ["Lu", "Lu", "Nb", "Si"],
  "frac_coords": [[0.750, 0.750, 0.750], [0.000, 0.000, 0.000], [0.250, 0.250, 0.250], [0.500, 0.500, 0.500]],
  "m_tot_mub_per_atom": 0.2692
}



Entry 2:
{
  "formula": "LuNbSi2",
  "functional": "GGA-PBE",
  "state": "optimized geometry",
  "cell": [[0.000, 3.270, 3.270], [3.270, 0.000, 3.270], [3.270, 3.270, 0.000]],
  "species": ["Si", "Si", "Lu", "Nb"],
  "frac_coords": [[0.250, 0.250, 0.250], [0.000, 0.000, 0.000], [0.500, 0.500, 0.500], [0.750, 0.750, 0.750]],
  "m_tot_mub_per_atom": 0.0014
}



Number 1: energy -6.07 eV per atom. Number 2: energy -6.14 eV per atom.